[1]
12
Lattice="3.9095 0.0000 0.0000 0.0000 4.1178 0.0000 0.0000 0.0000 12.4424" Properties=species:S:1:pos:R:3 comment="TaMnHg (GGA-PBEsol, relaxed)" formation_energy_ev_per_atom=0.300 pbc="T T T"
Ta 0.0000 0.0000 0.0000
Ta 0.0000 2.0589 6.2212
Ta 1.9548 0.0000 6.2212
Ta 1.9548 2.0589 0.0000
Mn 0.0000 0.0000 4.3486
Mn 0.0000 2.0589 10.5698
Mn 1.9548 0.0000 10.5698
Mn 1.9548 2.0589 4.3486
Hg 0.0000 0.0000 8.5099
Hg 0.0000 2.0589 2.2887
Hg 1.9548 0.0000 2.2887
Hg 1.9548 2.0589 8.5099

[2]
4
Lattice="2.7379 0.0000 0.0000 0.0000 2.7379 0.0000 0.0000 0.0000 7.6705" Properties=species:S:1:pos:R:3 comment="MnTc2Hg (GGA-PBEsol, relaxed)" formation_energy_ev_per_atom=0.325 pbc="T T T"
Mn 0.0000 0.0000 0.0000
Tc 1.3690 1.3690 1.6109
Tc 1.3690 1.3690 6.0596
Hg 0.0000 0.0000 3.8352

[3]
16
Lattice="6.4481 0.0000 0.0000 0.0000 6.4481 0.0000 0.0000 0.0000 6.4481" Properties=species:S:1:pos:R:3 comment="MnTcHg2 (GGA-PBEsol, relaxed)" formation_energy_ev_per_atom=0.675 pbc="T T T"
Mn 0.0000 0.0000 0.0000
Mn 0.0000 3.2241 3.2241
Mn 3.2241 0.0000 3.2241
Mn 3.2241 3.2241 0.0000
Tc 1.6120 1.6120 4.8361
Tc 1.6120 4.8361 1.6120
Tc 4.8361 1.6120 1.6120
Tc 4.8361 4.8361 4.8361
Hg 0.0000 0.0000 3.2241
Hg 0.0000 3.2241 0.0000
Hg 1.6120 1.6120 1.6120
Hg 1.6120 4.8361 4.8361
Hg 3.2241 0.0000 0.0000
Hg 3.2241 3.2241 3.2241
Hg 4.8361 1.6120 4.8361
Hg 4.8361 4.8361 1.6120

[4]
8
Lattice="5.2717 0.0000 0.0000 0.0000 9.1191 0.0000 -0.9410 0.0000 2.5083" Properties=species:S:1:pos:R:3 comment="MnTc2Hg (GGA-PBEsol, relaxed)" formation_energy_ev_per_atom=0.586 pbc="T T T"
Mn 0.0000 0.0000 0.0000
Mn 2.6359 4.5596 0.0000
Tc 0.8474 2.2798 1.2541
Tc 0.8474 6.8394 1.2541
Tc 3.4833 2.2798 1.2541
Tc 3.4833 6.8394 1.2541
Hg 0.0000 4.5596 0.0000
Hg 2.6359 0.0000 0.0000

[5]
8
Lattice="3.9004 0.0000 0.0000 0.0000 3.9004 0.0000 0.0000 0.0000 7.7257" Properties=species:S:1:pos:R:3 comment="MnTc2Hg (GGA-PBEsol, relaxed)" formation_energy_ev_per_atom=0.424 pbc="T T T"
Mn 0.0000 0.0000 0.0000
Mn 1.9502 1.9502 3.8628
Tc 0.0000 0.0000 3.8628
Tc 0.0000 1.9502 1.9314
Tc 1.9502 0.0000 5.7942
Tc 1.9502 1.9502 0.0000
Hg 0.0000 1.9502 5.7942
Hg 1.9502 0.0000 1.9314

[6]
4
Lattice="3.3907 0.0000 0.0000 0.0000 3.3907 0.0000 0.0000 0.0000 6.1914" Properties=species:S:1:pos:R:3 comment="Mn2HgTe (GGA-PBEsol, relaxed)" polymorph_energy_kj_per_mol_atoms=5.0 pbc="T T T"
Mn 0.0000 0.0000 1.4838
Mn 0.0000 0.0000 4.7076
Hg 1.6954 1.6954 3.0957
Te 1.6954 1.6954 0.0000

no.,ρ (g/cm³),total magnetization (μB/f.u.)
1,14.47,3.061
2,13.04,0.001
3,13.73,3.567
4,12.44,2.972
5,12.76,2.739
6,10.22,6.953